# PBE SiTeWSe2, relaxed
data_SiTeWSe2
_chemical_formula_sum 'Si1 Te1 W1 Se2'
_cell_length_a 4.7957
_cell_length_b 5.7149
_cell_length_c 4.7957
_cell_angle_alpha 90.00
_cell_angle_beta 90.00
_cell_angle_gamma 90.00
_space_group_name_H-M_alt 'P 1'
_space_group_IT_number 1
loop_
_space_group_symop_operation_xyz
'x,y,z'
loop_
_atom_site_label
_atom_site_type_symbol
_atom_site_fract_x
_atom_site_fract_y
_atom_site_fract_z
Si1 Si 0.5000 0.5000 0.5000
Te1 Te 0.0000 0.5000 0.0000
Se1 Se 0.0000 0.0000 0.5000
Se2 Se 0.5000 0.0000 0.0000
W1 W 0.0000 0.0000 0.0000
# energy relative to the elements, uncorrected: 640.3 meV/atom
# total moment: 0.69 μB per formula unit
# SG: No. 123
# energy: -5.06 eV per atom